#1
DFT (PBE) results for a geometry-optimized NaMoS2Cl structure.

The structure belongs to space group P4/mmm (No. 123); the cell edges are 4.9552, 4.9552 and 4.7305 Å and the angles 90.00°, 90.00° and 90.00°. The asymmetric unit holds Na at (0.0000, 0.0000, 0.0000), Mo at (0.5000, 0.5000, 0.5000), S at (0.0000, 0.5000, 0.0000) and Cl at (0.0000, 0.0000, 0.5000).

As for the density of states at the Fermi level: 3.97 states/eV per cell. The size of the total moment comes out at 1.99 μB/f.u.



#2
DFT (PBE) results for a geometry-optimized NaMoS2Cl structure.

The structure belongs to space group P4/mmm (No. 123); the cell edges are 4.6549, 4.6549 and 5.1757 Å and the angles 90.00°, 90.00° and 90.00°. The asymmetric unit holds Na at (0.0000, 0.0000, 0.0000), Mo at (0.5000, 0.5000, 0.5000), S at (0.0000, 0.5000, 0.5000) and Cl at (0.5000, 0.5000, 0.0000).

As for the density of states at the Fermi level: 4.55 states/eV per cell. The size of the total moment comes out at 0.15 μB/f.u.



If you had to name the least stable structure above, which would it be? It would be #1.